Record 1
The following is a PBEsol calculation of a relaxed structure of Ag2TeP, from the Alexandria database.

a = 2.883 Å, b = 3.646 Å, c = 7.442 Å
α = 90.00°, β = 90.00°, γ = 90.00°
Fractional coordinates of all 4 atoms:
Ag 0.000 0.000 0.200
Ag 0.000 0.000 0.800
Te 0.500 0.500 0.500
P 0.500 0.500 0.000

Values from the calculation:
uncorrected energy = -14.6 eV/cell

=====

Record 2
The following is a PBEsol calculation of a relaxed structure of SiMoCl2, from the Alexandria database.

a = 3.006 Å, b = 4.112 Å, c = 6.933 Å
α = 98.82°, β = 102.52°, γ = 90.00°
Last column: magnetic moment on the atom in μB.
Fractional coordinates of all 4 atoms:
Si 0.500 0.000 0.000  -0.01
Mo 0.000 0.500 0.000  0.43
Cl 0.353 0.310 0.706  0.02
Cl 0.647 0.690 0.294  0.02

Values from the calculation:
uncorrected energy = -22.4 eV/cell

=====

Record 3
The following is a PBEsol calculation of a relaxed structure of TiPO4, from the Alexandria database.

a = 4.852 Å, b = 4.852 Å, c = 5.817 Å
α = 90.00°, β = 90.00°, γ = 111.38°
Fractional coordinates of all 12 atoms:
O 0.767 0.698 0.250
O 0.243 0.757 0.966
O 0.302 0.233 0.250
O 0.757 0.243 0.034
O 0.243 0.757 0.534
O 0.233 0.302 0.750
O 0.698 0.767 0.750
O 0.757 0.243 0.466
Ti 0.000 0.000 0.000
Ti 0.000 0.000 0.500
P 0.650 0.350 0.250
P 0.350 0.650 0.750

Values from the calculation:
uncorrected energy = -100.6 eV/cell

=====

Number 1: E_form (uncorrected) 0.32 eV per atom. Number 2: E_form (uncorrected) -0.21 eV per atom. Number 3: E_form (uncorrected) -2.53 eV per atom.